Computed, not measured: NdCu2AsN after structural relaxation at the PBE level of DFT.

Results
D(E_F)   1.558 states/eV/f.u.
ΔE_f (raw)   -551 meV/atom

Unit cell a=6.2122 b=6.2122 c=7.0743 alpha=90.00 beta=90.00 gamma=145.51
With the nearest neighbours (Å) after each atom.
Fractional coordinates of all 10 atoms:
1 Nd 0.0353 0.9647 0.7500  4 N 2.59
2 Nd 0.9647 0.0353 0.2500  4 N 2.59
3 Cu 0.3371 0.6629 0.5571  1 N 1.97
4 Cu 0.3371 0.6629 0.9429  1 N 1.97
5 Cu 0.6629 0.3371 0.0571  1 N 1.97
6 Cu 0.6629 0.3371 0.4429  1 N 1.97
7 As 0.2379 0.7621 0.2500  6 Cu 2.46-2.47
8 As 0.7621 0.2379 0.7500  6 Cu 2.46-2.47
9 N 0.5000 0.5000 0.0000  2 Cu 1.97
10 N 0.5000 0.5000 0.5000  2 Cu 1.97



Computed, not measured: NpHCl3 after structural relaxation at the PBE level of DFT.

Results
D(E_F)   4.192 states/eV/f.u.
Total energy   -5.4445 eV/atom

Unit cell a=7.5670 b=4.0060 c=7.7001 alpha=90.00 beta=96.49 gamma=90.00
With the nearest neighbours (Å) after each atom.
Fractional coordinates of all 10 atoms:
1 Np 0.2364 0.2500 0.3539  1 H 1.97
2 Np 0.7636 0.7500 0.6461  1 H 1.97
3 H 0.0891 0.2500 0.1255  1 Np 1.97
4 H 0.9109 0.7500 0.8745  1 Np 1.97
5 Cl 0.0290 0.2500 0.6670  2 H 2.77, 3 Np 2.83-3.02
6 Cl 0.3338 0.7500 0.1452  2 H 2.72, 2 Np 2.72
7 Cl 0.3718 0.7500 0.6044  3 Np 2.89-2.95
8 Cl 0.6282 0.2500 0.3956  3 Np 2.89-2.95
9 Cl 0.6662 0.2500 0.8548  2 H 2.72, 2 Np 2.72
10 Cl 0.9710 0.7500 0.3330  2 H 2.77, 3 Np 2.83-3.02



Computed, not measured: KSc2Sb after structural relaxation at the PBE level of DFT.

Results
D(E_F)   4.462 states/eV/f.u.
ΔE_f (raw)   -3 meV/atom

Unit cell a=3.4197 b=5.0981 c=6.9119 alpha=90.00 beta=100.78 gamma=90.00
With the nearest neighbours (Å) after each atom.
Fractional coordinates of all 4 atoms:
1 K 0.0000 0.0000 0.0000  2 K 3.42, 2 Sb 3.56, 4 Sc 3.63
2 Sc 0.3173 0.5000 0.6879  2 Sb 2.98, 2 Sc 3.06-3.09
3 Sc 0.6827 0.5000 0.3121  2 Sb 2.98, 2 Sc 3.06-3.09
4 Sb 0.5000 0.0000 0.5000  4 Sc 2.98



Computed, not measured: AcSbTe2O after structural relaxation at the PBE level of DFT.

Results
D(E_F)   0.004 states/eV/f.u.
ΔE_f (raw)   -1504 meV/atom

Unit cell a=4.3394 b=4.3394 c=15.9408 alpha=90.00 beta=90.00 gamma=90.00
With the nearest neighbours (Å) after each atom.
Fractional coordinates of all 10 atoms:
1 Ac 0.2500 0.2500 0.0784  4 O 2.50
2 Ac 0.7500 0.7500 0.9216  4 O 2.50
3 Sb 0.2500 0.2500 0.6302  5 Te 2.80-3.11
4 Sb 0.7500 0.7500 0.3698  5 Te 2.80-3.11
5 Te 0.2500 0.2500 0.4033  4 Sb 3.11
6 Te 0.2500 0.2500 0.8058  1 Sb 2.80
7 Te 0.7500 0.7500 0.1942  1 Sb 2.80
8 Te 0.7500 0.7500 0.5967  4 Sb 3.11
9 O 0.2500 0.7500 0.0000  4 Ac 2.50
10 O 0.7500 0.2500 0.0000  4 Ac 2.50



Computed, not measured: La2ZnRu after structural relaxation at the PBE level of DFT.

Results
Energy of formation from the pure elements   -0.2331 eV per atom
D(E_F)   3.421 states/eV/f.u.

Unit cell a=3.5587 b=3.8260 c=7.4199 alpha=90.00 beta=97.33 gamma=90.00
With the nearest neighbours (Å) after each atom.
Fractional coordinates of all 4 atoms:
1 La 0.0764 0.0000 0.2713  2 Ru 2.86
2 La 0.9236 0.0000 0.7287  2 Ru 2.86
3 Zn 0.5000 0.5000 0.0000  8 La 3.28-3.30, 2 Zn 3.56
4 Ru 0.5000 0.5000 0.5000  4 La 2.86



Computed, not measured: Sc2GeI after structural relaxation at the PBE level of DFT.

Results
D(E_F)   5.116 states/eV/f.u.
ΔE_f (raw)   -392 meV/atom
Offset from the most stable computed form   0.260 eV/atom

Unit cell a=5.0233 b=5.0233 c=5.0233 alpha=60.00 beta=60.00 gamma=60.00
With the nearest neighbours (Å) after each atom.
Fractional coordinates of all 4 atoms:
1 Sc 0.2500 0.2500 0.2500  4 Ge 3.08, 4 I 3.08
2 Sc 0.7500 0.7500 0.7500  4 I 3.08, 4 Ge 3.08
3 Ge 0.0000 0.0000 0.0000  8 Sc 3.08
4 I 0.5000 0.5000 0.5000  8 Sc 3.08



Computed, not measured: TbTiClO3 after structural relaxation at the PBE level of DFT.

Results
D(E_F)   0.000 states/eV/f.u.
ΔE_f (raw)   -3086 meV/atom

Unit cell a=5.3140 b=5.3140 c=9.9358 alpha=105.15 beta=105.15 gamma=43.35
With the nearest neighbours (Å) after each atom.
Fractional coordinates of all 12 atoms:
1 Tb 0.2247 0.2247 0.2057  3 O 2.19-2.21
2 Tb 0.7753 0.7753 0.7943  3 O 2.19-2.21
3 Ti 0.3806 0.3806 0.5700  4 O 1.85-2.02
4 Ti 0.6194 0.6194 0.4300  4 O 1.85-2.02
5 Cl 0.1142 0.1142 0.9061  3 Tb 2.87-2.93, 1 O 3.15
6 Cl 0.8858 0.8858 0.0939  3 Tb 2.87-2.93, 1 O 3.15
7 O 0.1694 0.1694 0.4353  3 Ti 2.02-2.14
8 O 0.3494 0.3494 0.7476  1 Ti 1.87
9 O 0.4240 0.4240 0.3761  1 Ti 1.85
10 O 0.5760 0.5760 0.6239  1 Ti 1.85
11 O 0.6506 0.6506 0.2524  1 Ti 1.87
12 O 0.8306 0.8306 0.5647  3 Ti 2.02-2.14



Computed, not measured: Pr2DyTe2As2 after structural relaxation at the PBE level of DFT.

Results
D(E_F)   5.722 states/eV/f.u.
ΔE_f (raw)   -1043 meV/atom

Unit cell a=8.7976 b=8.7976 c=8.7976 alpha=144.74 beta=144.74 gamma=50.73
With the nearest neighbours (Å) after each atom.
Fractional coordinates of all 7 atoms:
1 Pr 0.1141 0.1141 0.0000  1 Te 3.10, 4 As 3.22
2 Pr 0.8859 0.8859 0.0000  1 Te 3.10, 4 As 3.22
3 Dy 0.5000 0.5000 0.0000  4 As 2.66
4 Te 0.3092 0.3092 0.0000  1 Dy 3.03, 1 Pr 3.10
5 Te 0.6908 0.6908 0.0000  1 Dy 3.03, 1 Pr 3.10
6 As 0.0000 0.5000 0.5000  2 Dy 2.66
7 As 0.5000 0.0000 0.5000  2 Dy 2.66



> Which value of D(E_F) does entry 8 give?

5.722 states/eV/f.u.